# La2TbNd2Cd5

A geometry-optimized La2TbNd2Cd5 structure (PBE, the Alexandria database).

The structure in CIF format:
```
data_La2TbNd2Cd5
_symmetry_space_group_name_H-M 'P 4/m b m'
_symmetry_Int_Tables_number 127
_symmetry_space_group_name_Hall '-P 4 2ab'
_cell_length_a 10.834
_cell_length_b 10.834
_cell_length_c 4.893
_cell_angle_alpha 90.00
_cell_angle_beta 90.00
_cell_angle_gamma 90.00
loop_
_atom_site_label
_atom_site_type_symbol
_atom_site_fract_x
_atom_site_fract_y
_atom_site_fract_z
_atom_site_occupancy
La1 La 0.175 0.325 0.000 1
Tb1 Tb 0.000 0.000 0.000 1
Nd1 Nd 0.126 0.626 0.000 1
Cd1 Cd 0.000 0.500 0.500 1
Cd2 Cd 0.067 0.810 0.500 1
```

Summary:
ΔE_f: -0.199 eV per atom
total magnetic moment: 0.0 Bohr magnetons per cell

---

# BeSn2Ge2

A geometry-optimized BeSn2Ge2 structure (PBE, the Alexandria database).

The structure in CIF format:
```
data_BeSn2Ge2
_symmetry_space_group_name_H-M 'P 4/m b m'
_symmetry_Int_Tables_number 127
_symmetry_space_group_name_Hall '-P 4 2ab'
_cell_length_a 7.073
_cell_length_b 7.073
_cell_length_c 4.526
_cell_angle_alpha 90.00
_cell_angle_beta 90.00
_cell_angle_gamma 90.00
loop_
_atom_site_label
_atom_site_type_symbol
_atom_site_fract_x
_atom_site_fract_y
_atom_site_fract_z
_atom_site_occupancy
Be1 Be 0.000 0.000 0.000 1
Sn1 Sn 0.177 0.323 0.000 1
Ge1 Ge 0.130 0.630 0.500 1
```

Summary:
ΔE_f: 0.490 eV per atom
energy above the most stable polymorph in this dataset: 252 meV/atom
total magnetic moment: 0.0 Bohr magnetons per cell

---

# YTaTl2

A geometry-optimized YTaTl2 structure (PBE, the Alexandria database).

The structure in CIF format:
```
data_YTaTl2
_symmetry_space_group_name_H-M 'P m m 2'
_symmetry_Int_Tables_number 25
_cell_length_a 3.531
_cell_length_b 4.279
_cell_length_c 6.496
_cell_angle_alpha 90.00
_cell_angle_beta 90.00
_cell_angle_gamma 90.00
loop_
_symmetry_equiv_pos_as_xyz
'x,y,z'
'-x,-y,z'
'-x,y,z'
'x,-y,z'
loop_
_atom_site_label
_atom_site_type_symbol
_atom_site_fract_x
_atom_site_fract_y
_atom_site_fract_z
_atom_site_occupancy
Y1 Y 0.000 0.000 0.000 1
Ta1 Ta 0.500 0.500 0.248 1
Tl1 Tl 0.000 0.000 0.475 1
Tl2 Tl 0.500 0.500 0.731 1
```

Summary:
ΔE_f: 0.377 eV per atom
total magnetic moment: 0.0 Bohr magnetons per cell

---

Which formula does entry 3 have? YTaTl2